DFT (GGA+U) results for Sr2VOsO8 after structural relaxation.

Properties
**Fermi-level density of states**: 1.85 states/eV/cell
**E_tot**: -6.895 eV per atom

The structure in POSCAR format:
```
Sr2VOsO8
1.0
5.235 0.000 0.000
0.000 6.347 0.000
-0.124 0.000 5.253
Sr V Os O
2 1 1 8
Direct
0.000 0.246 0.000 Sr
0.000 0.754 0.000 Sr
0.500 0.000 0.500 V
0.500 0.500 0.500 Os
0.252 0.500 0.249 O
0.259 0.000 0.256 O
0.334 0.259 0.663 O
0.334 0.741 0.663 O
0.666 0.259 0.337 O
0.666 0.741 0.337 O
0.741 0.000 0.744 O
0.748 0.500 0.751 O
```